1.
Here is a geometry-optimized CeTi4S8 structure from the Alexandria database. Energies are from PBE-GGA.

Values from the calculation:
Energy above the lowest structure with this stoichiometry (meV/atom): 163
Formation energy from raw total energies (kcal/mol of atoms): -31.35

Unit cell a=10.401 b=10.401 c=10.401 alpha=90.00 beta=90.00 gamma=90.00
Space group F-43m (No. 216)
Symmetry-distinct sites (fractional):
Ce1 0.000 0.000 0.000 (multiplicity 4)
Ti1 0.111 0.111 0.389 (multiplicity 16)
S1 0.121 0.121 0.621 (multiplicity 16)
S2 0.145 0.145 0.145 (multiplicity 16)

***

2.
Here is a geometry-optimized CeTiS4 structure from the Alexandria database. Energies are from PBE-GGA.

Values from the calculation:
Formation energy from raw total energies (kcal/mol of atoms): -29.95

Unit cell a=8.721 b=8.737 c=3.788 alpha=90.00 beta=90.00 gamma=90.00
Space group Cmmm (No. 65)
Symmetry-distinct sites (fractional):
Ce1 0.000 0.000 0.000 (multiplicity 2)
Ti1 0.000 0.500 0.500 (multiplicity 2)
S1 0.000 0.218 0.500 (multiplicity 4)
S2 0.180 0.500 0.000 (multiplicity 4)

***

Which of these has the highest formation energy from raw total energies? CeTiS4

***

Repeat the first record exactly.
Here is a geometry-optimized CeTi4S8 structure from the Alexandria database. Energies are from PBE-GGA.

Values from the calculation:
Energy above the lowest structure with this stoichiometry (meV/atom): 163
Formation energy from raw total energies (kcal/mol of atoms): -31.35

Unit cell a=10.401 b=10.401 c=10.401 alpha=90.00 beta=90.00 gamma=90.00
Space group F-43m (No. 216)
Symmetry-distinct sites (fractional):
Ce1 0.000 0.000 0.000 (multiplicity 4)
Ti1 0.111 0.111 0.389 (multiplicity 16)
S1 0.121 0.121 0.621 (multiplicity 16)
S2 0.145 0.145 0.145 (multiplicity 16)